Version a
# La4ThN5

An optimized crystal structure of La4ThN5 (PBE, Alexandria via LeMat-Bulk).

Lattice parameters (Å, degrees): 13.537 13.537 13.537 164.21 164.21 22.41
Positions (direct):
1 La 0.101 0.101 0.000
2 La 0.298 0.298 0.000
3 La 0.702 0.702 0.000
4 La 0.899 0.899 0.000
5 Th 0.500 0.500 0.000
6 N 0.000 0.000 0.000
7 N 0.199 0.199 0.000
8 N 0.409 0.409 0.000
9 N 0.591 0.591 0.000
10 N 0.801 0.801 0.000

Values from the calculation:
crystal system: tetragonal

Version b
# La4ThN5

An optimized crystal structure of La4ThN5 (PBE, Alexandria via LeMat-Bulk).

Lattice parameters (Å, degrees): 6.469 6.469 6.469 99.51 99.51 132.04
Positions (direct):
1 La 0.102 0.300 0.402
2 La 0.300 0.898 0.199
3 La 0.700 0.102 0.801
4 La 0.898 0.700 0.598
5 Th 0.500 0.500 0.000
6 N 0.000 0.000 0.000
7 N 0.216 0.595 0.812
8 N 0.405 0.216 0.621
9 N 0.595 0.784 0.379
10 N 0.784 0.405 0.188

Values from the calculation:
crystal system: tetragonal

Relative energy of each structure, in meV per atom: version a 12; version b 0.

Version a
# LaTh6N8

An optimized crystal structure of LaTh6N8 (PBE, Alexandria via LeMat-Bulk).

Lattice parameters (Å, degrees): 7.297 7.297 7.297 60.00 60.00 60.00
Positions (direct):
1 La 0.000 0.000 0.000
2 Th 0.000 0.000 0.500
3 Th 0.000 0.500 0.000
4 Th 0.000 0.500 0.500
5 Th 0.500 0.000 0.000
6 Th 0.500 0.000 0.500
7 Th 0.500 0.500 0.000
8 N 0.240 0.240 0.760
9 N 0.240 0.760 0.240
10 N 0.240 0.760 0.760
11 N 0.250 0.250 0.250
12 N 0.750 0.750 0.750
13 N 0.760 0.240 0.240
14 N 0.760 0.240 0.760
15 N 0.760 0.760 0.240

Values from the calculation:
crystal system: cubic

Version b
# LaTh6N8

An optimized crystal structure of LaTh6N8 (PBE, Alexandria via LeMat-Bulk).

Lattice parameters (Å, degrees): 6.896 6.896 6.896 64.87 64.87 64.87
Positions (direct):
1 La 0.000 0.000 0.000
2 Th 0.072 0.701 0.488
3 Th 0.299 0.512 0.928
4 Th 0.488 0.072 0.701
5 Th 0.512 0.928 0.299
6 Th 0.701 0.488 0.072
7 Th 0.928 0.299 0.512
8 N 0.112 0.368 0.820
9 N 0.180 0.888 0.632
10 N 0.314 0.314 0.314
11 N 0.368 0.820 0.112
12 N 0.632 0.180 0.888
13 N 0.686 0.686 0.686
14 N 0.820 0.112 0.368
15 N 0.888 0.632 0.180

Values from the calculation:
crystal system: trigonal

Relative energy of each structure, in meV per atom: version a 0; version b 40.

Version a
# La2Tl2N

An optimized crystal structure of La2Tl2N (PBE, Alexandria via LeMat-Bulk).

Lattice parameters (Å, degrees): 7.259 7.259 5.151 90.00 90.00 90.00
Positions (direct):
1 La 0.157 0.343 0.000
2 La 0.343 0.843 0.000
3 La 0.657 0.157 0.000
4 La 0.843 0.657 0.000
5 Tl 0.155 0.655 0.500
6 Tl 0.345 0.155 0.500
7 Tl 0.655 0.845 0.500
8 Tl 0.845 0.345 0.500
9 N 0.000 0.000 0.500
10 N 0.500 0.500 0.500

Values from the calculation:
crystal system: tetragonal

Version b
# La2Tl2N

An optimized crystal structure of La2Tl2N (PBE, Alexandria via LeMat-Bulk).

Lattice parameters (Å, degrees): 6.490 6.490 7.338 90.00 90.00 90.00
Positions (direct):
1 La 0.000 0.500 0.250
2 La 0.000 0.500 0.750
3 La 0.500 0.000 0.250
4 La 0.500 0.000 0.750
5 Tl 0.000 0.000 0.191
6 Tl 0.000 0.000 0.809
7 Tl 0.500 0.500 0.309
8 Tl 0.500 0.500 0.691
9 N 0.000 0.000 0.500
10 N 0.500 0.500 0.000

Values from the calculation:
crystal system: tetragonal

Relative energy of each structure, in meV per atom: version a 0; version b 284.

Version a
# LaTl2N

An optimized crystal structure of LaTl2N (PBE, Alexandria via LeMat-Bulk).

Lattice parameters (Å, degrees): 7.322 7.322 7.322 90.00 90.00 90.00
Positions (direct):
1 La 0.000 0.000 0.000
2 La 0.000 0.500 0.500
3 La 0.500 0.000 0.500
4 La 0.500 0.500 0.000
5 Tl 0.250 0.250 0.250
6 Tl 0.250 0.250 0.750
7 Tl 0.250 0.750 0.250
8 Tl 0.250 0.750 0.750
9 Tl 0.750 0.250 0.250
10 Tl 0.750 0.250 0.750
11 Tl 0.750 0.750 0.250
12 Tl 0.750 0.750 0.750
13 N 0.000 0.000 0.500
14 N 0.000 0.500 0.000
15 N 0.500 0.000 0.000
16 N 0.500 0.500 0.500

Values from the calculation:
crystal system: cubic

Version b
# LaTl2N

An optimized crystal structure of LaTl2N (PBE, Alexandria via LeMat-Bulk).

Lattice parameters (Å, degrees): 9.438 9.438 4.832 90.00 90.00 90.00
Positions (direct):
1 La 0.000 0.000 0.000
2 La 0.000 0.500 0.250
3 La 0.500 0.000 0.750
4 La 0.500 0.500 0.500
5 Tl 0.149 0.750 0.625
6 Tl 0.250 0.149 0.375
7 Tl 0.250 0.351 0.875
8 Tl 0.351 0.750 0.125
9 Tl 0.649 0.250 0.125
10 Tl 0.750 0.649 0.875
11 Tl 0.750 0.851 0.375
12 Tl 0.851 0.250 0.625
13 N 0.000 0.000 0.500
14 N 0.000 0.500 0.750
15 N 0.500 0.000 0.250
16 N 0.500 0.500 0.000

Values from the calculation:
crystal system: tetragonal

Relative energy of each structure, in meV per atom: version a 778; version b 0.

Version a
# LaTmN

An optimized crystal structure of LaTmN (PBE, Alexandria via LeMat-Bulk).

Lattice parameters (Å, degrees): 3.514 3.514 6.468 90.00 90.00 120.00
Positions (direct):
1 La 0.000 0.000 0.000
2 Tm 0.333 0.667 0.429
3 N 0.667 0.333 0.259

Values from the calculation:
crystal system: trigonal

Version b
# LaTmN

An optimized crystal structure of LaTmN (PBE, Alexandria via LeMat-Bulk).

Lattice parameters (Å, degrees): 4.056 4.056 5.580 90.00 90.00 120.00
Positions (direct):
1 La 0.000 0.000 0.000
2 Tm 0.667 0.333 0.490
3 N 0.667 0.333 0.108

Values from the calculation:
crystal system: trigonal

Relative energy of each structure, in meV per atom: version a 0; version b 137.

Version a
# La3UN4

An optimized crystal structure of La3UN4 (PBE, Alexandria via LeMat-Bulk).

Lattice parameters (Å, degrees): 6.339 7.314 6.266 90.00 109.25 90.00
Positions (direct):
1 La 0.000 0.124 0.250
2 La 0.000 0.375 0.750
3 La 0.000 0.625 0.250
4 La 0.000 0.876 0.750
5 La 0.500 0.376 0.250
6 La 0.500 0.624 0.750
7 U 0.500 0.123 0.750
8 U 0.500 0.877 0.250
9 N 0.281 0.339 0.536
10 N 0.281 0.661 0.036
11 N 0.294 0.105 0.998
12 N 0.294 0.895 0.498
13 N 0.706 0.105 0.502
14 N 0.706 0.895 0.002
15 N 0.719 0.339 0.964
16 N 0.719 0.661 0.464

Values from the calculation:
crystal system: monoclinic

Version b
# La3UN4

An optimized crystal structure of La3UN4 (PBE, Alexandria via LeMat-Bulk).

Lattice parameters (Å, degrees): 7.323 10.305 3.634 90.00 90.00 90.00
Positions (direct):
1 La 0.000 0.000 0.000
2 La 0.250 0.250 0.500
3 La 0.250 0.750 0.500
4 La 0.500 0.500 0.000
5 La 0.750 0.250 0.500
6 La 0.750 0.750 0.500
7 U 0.000 0.500 0.000
8 U 0.500 0.000 0.000
9 N 0.000 0.287 0.000
10 N 0.000 0.713 0.000
11 N 0.208 0.500 0.500
12 N 0.292 0.000 0.500
13 N 0.500 0.213 0.000
14 N 0.500 0.787 0.000
15 N 0.708 0.000 0.500
16 N 0.792 0.500 0.500

Values from the calculation:
crystal system: orthorhombic

Relative energy of each structure, in meV per atom: version a 0; version b 11.

Version a
# La2VN3

An optimized crystal structure of La2VN3 (PBE, Alexandria via LeMat-Bulk).

Lattice parameters (Å, degrees): 5.848 5.848 5.558 90.21 90.21 69.31
Positions (direct):
1 La 0.009 0.330 0.249
2 La 0.330 0.009 0.749
3 La 0.670 0.991 0.251
4 La 0.991 0.670 0.751
5 V 0.411 0.589 0.250
6 V 0.589 0.411 0.750
7 N 0.141 0.859 0.250
8 N 0.352 0.354 0.500
9 N 0.354 0.352 0.000
10 N 0.646 0.648 0.000
11 N 0.648 0.646 0.500
12 N 0.859 0.141 0.750

Values from the calculation:
crystal system: monoclinic

Version b
# La2VN3

An optimized crystal structure of La2VN3 (PBE, Alexandria via LeMat-Bulk).

Lattice parameters (Å, degrees): 6.190 6.190 12.368 90.00 90.00 125.94
Positions (direct):
1 La 0.060 0.940 0.860
2 La 0.141 0.859 0.424
3 La 0.359 0.641 0.924
4 La 0.440 0.560 0.360
5 La 0.560 0.440 0.640
6 La 0.641 0.359 0.076
7 La 0.859 0.141 0.576
8 La 0.940 0.060 0.140
9 V 0.243 0.757 0.659
10 V 0.257 0.743 0.159
11 V 0.743 0.257 0.841
12 V 0.757 0.243 0.341
13 N 0.022 0.478 0.750
14 N 0.077 0.923 0.629
15 N 0.151 0.849 0.039
16 N 0.349 0.651 0.539
17 N 0.423 0.577 0.129
18 N 0.478 0.022 0.250
19 N 0.522 0.978 0.750
20 N 0.577 0.423 0.871
21 N 0.651 0.349 0.461
22 N 0.849 0.151 0.961
23 N 0.923 0.077 0.371
24 N 0.978 0.522 0.250

Values from the calculation:
crystal system: orthorhombic

Relative energy of each structure, in meV per atom: version a 173; version b 0.

Version a
# LaW3N

An optimized crystal structure of LaW3N (PBE, Alexandria via LeMat-Bulk).

Lattice parameters (Å, degrees): 4.355 4.355 4.355 90.00 90.00 90.00
Positions (direct):
1 La 0.000 0.000 0.000
2 W 0.000 0.500 0.500
3 W 0.500 0.000 0.500
4 W 0.500 0.500 0.000
5 N 0.500 0.500 0.500

Values from the calculation:
crystal system: cubic

Version b
# LaW3N

An optimized crystal structure of LaW3N (PBE, Alexandria via LeMat-Bulk).

Lattice parameters (Å, degrees): 4.823 4.823 4.823 90.00 90.00 90.00
Positions (direct):
1 La 0.000 0.000 0.000
2 W 0.000 0.000 0.500
3 W 0.000 0.500 0.000
4 W 0.500 0.000 0.000
5 N 0.500 0.500 0.500

Values from the calculation:
crystal system: cubic

Relative energy of each structure, in meV per atom: version a 0; version b 3659.

Version a
# LaYN

An optimized crystal structure of LaYN (PBE, Alexandria via LeMat-Bulk).

Lattice parameters (Å, degrees): 3.579 3.579 6.446 90.00 90.00 120.00
Positions (direct):
1 La 0.000 0.000 0.000
2 Y 0.333 0.667 0.429
3 N 0.667 0.333 0.243

Values from the calculation:
crystal system: trigonal

Version b
# LaYN

An optimized crystal structure of LaYN (PBE, Alexandria via LeMat-Bulk).

Lattice parameters (Å, degrees): 3.422 6.623 13.386 90.00 90.00 90.00
Positions (direct):
1 La 0.000 0.000 0.000
2 La 0.000 0.500 0.500
3 La 0.500 0.000 0.500
4 La 0.500 0.500 0.000
5 Y 0.000 0.000 0.756
6 Y 0.000 0.500 0.256
7 Y 0.500 0.000 0.256
8 Y 0.500 0.500 0.756
9 N 0.000 0.000 0.369
10 N 0.000 0.500 0.869
11 N 0.500 0.000 0.869
12 N 0.500 0.500 0.369

Values from the calculation:
crystal system: orthorhombic

Relative energy of each structure, in meV per atom: version a 0; version b 343.

Version a
# LaY3N

An optimized crystal structure of LaY3N (PBE, Alexandria via LeMat-Bulk).

Lattice parameters (Å, degrees): 5.021 5.021 5.021 90.00 90.00 90.00
Positions (direct):
1 La 0.000 0.000 0.000
2 Y 0.000 0.500 0.500
3 Y 0.500 0.000 0.500
4 Y 0.500 0.500 0.000
5 N 0.500 0.500 0.500

Values from the calculation:
crystal system: cubic

Version b
# LaY3N

An optimized crystal structure of LaY3N (PBE, Alexandria via LeMat-Bulk).

Lattice parameters (Å, degrees): 5.661 5.661 5.661 90.00 90.00 90.00
Positions (direct):
1 La 0.000 0.000 0.000
2 Y 0.000 0.000 0.500
3 Y 0.000 0.500 0.000
4 Y 0.500 0.000 0.000
5 N 0.500 0.500 0.500

Values from the calculation:
crystal system: cubic

Relative energy of each structure, in meV per atom: version a 0; version b 2354.

Version a
# La2ZnN

An optimized crystal structure of La2ZnN (PBE, Alexandria via LeMat-Bulk).

Lattice parameters (Å, degrees): 6.981 6.981 6.981 90.00 90.00 90.00
Positions (direct):
1 La 0.250 0.250 0.250
2 La 0.250 0.250 0.750
3 La 0.250 0.750 0.250
4 La 0.250 0.750 0.750
5 La 0.750 0.250 0.250
6 La 0.750 0.250 0.750
7 La 0.750 0.750 0.250
8 La 0.750 0.750 0.750
9 Zn 0.000 0.000 0.000
10 Zn 0.000 0.500 0.500
11 Zn 0.500 0.000 0.500
12 Zn 0.500 0.500 0.000
13 N 0.000 0.000 0.500
14 N 0.000 0.500 0.000
15 N 0.500 0.000 0.000
16 N 0.500 0.500 0.500

Values from the calculation:
crystal system: cubic

Version b
# La2ZnN

An optimized crystal structure of La2ZnN (PBE, Alexandria via LeMat-Bulk).

Lattice parameters (Å, degrees): 3.610 3.610 28.318 90.00 90.00 120.00
Positions (direct):
1 La 0.000 0.000 0.117
2 La 0.000 0.000 0.883
3 La 0.333 0.667 0.550
4 La 0.333 0.667 0.783
5 La 0.667 0.333 0.217
6 La 0.667 0.333 0.450
7 Zn 0.000 0.000 0.000
8 Zn 0.333 0.667 0.667
9 Zn 0.667 0.333 0.333
10 N 0.000 0.000 0.500
11 N 0.333 0.667 0.167
12 N 0.667 0.333 0.833

Values from the calculation:
crystal system: trigonal

Relative energy of each structure, in meV per atom: version a 558; version b 0.

Version a
# La4Zn2N

An optimized crystal structure of La4Zn2N (PBE, Alexandria via LeMat-Bulk).

Lattice parameters (Å, degrees): 7.851 13.212 3.745 90.00 90.00 90.00
Positions (direct):
1 La 0.109 0.183 0.000
2 La 0.213 0.956 0.500
3 La 0.287 0.456 0.500
4 La 0.391 0.683 0.000
5 La 0.609 0.317 0.000
6 La 0.713 0.544 0.500
7 La 0.787 0.044 0.500
8 La 0.891 0.817 0.000
9 Zn 0.077 0.665 0.500
10 Zn 0.423 0.165 0.500
11 Zn 0.577 0.835 0.500
12 Zn 0.923 0.335 0.500
13 N 0.000 0.000 0.000
14 N 0.500 0.500 0.000

Values from the calculation:
crystal system: orthorhombic

Version b
# La4Zn2N

An optimized crystal structure of La4Zn2N (PBE, Alexandria via LeMat-Bulk).

Lattice parameters (Å, degrees): 12.904 3.861 8.795 90.00 123.19 90.00
Positions (direct):
1 La 0.081 0.000 0.335
2 La 0.151 0.500 0.064
3 La 0.349 0.000 0.936
4 La 0.419 0.500 0.665
5 La 0.581 0.500 0.335
6 La 0.651 0.000 0.064
7 La 0.849 0.500 0.936
8 La 0.919 0.000 0.665
9 Zn 0.120 0.500 0.659
10 Zn 0.380 0.000 0.341
11 Zn 0.620 0.000 0.659
12 Zn 0.880 0.500 0.341
13 N 0.000 0.000 0.000
14 N 0.500 0.500 0.000

Values from the calculation:
crystal system: monoclinic

Relative energy of each structure, in meV per atom: version a 113; version b 0.